<one>
Li2ZrCu2: optimized geometry, PBE-GGA.

Output
The value obtained for the density of states at the Fermi level is 0.87 states/eV/atom. As for the magnetization: 0.00 μB per formula unit. As for the crystal system: tetragonal.

Structure (extended XYZ):
```
5
Lattice="-1.7688 1.7688 6.3280 1.7688 -1.7688 6.3280 1.7688 1.7688 -6.3280" Properties=species:S:1:pos:R:3 pbc="T T T"
Li 1.7688 0.0000 3.1640
Li 0.0000 1.7688 3.1640
Zr 0.0000 0.0000 0.0000
Cu 0.0000 0.0000 5.0864
Cu 0.0000 0.0000 7.5697
```

<two>
Li2ZrCu2: optimized geometry, PBE-GGA.

Output
The value obtained for the density of states at the Fermi level is 0.43 states/eV/atom. As for the magnetization: 0.00 μB per formula unit. As for the crystal system: tetragonal.

Structure (extended XYZ):
```
10
Lattice="7.4114 0.0000 0.0000 0.0000 7.4114 0.0000 0.0000 0.0000 2.6958" Properties=species:S:1:pos:R:3 pbc="T T T"
Li 0.8428 2.8629 0.0000
Li 2.8629 6.5687 0.0000
Li 4.5485 0.8428 0.0000
Li 6.5687 4.5485 0.0000
Zr 0.0000 0.0000 0.0000
Zr 3.7057 3.7057 0.0000
Cu 1.3836 5.0893 1.3479
Cu 2.3221 1.3836 1.3479
Cu 5.0893 6.0278 1.3479
Cu 6.0278 2.3221 1.3479
```

<two> is favored, and the nearest alternative lies 1.3 kJ/mol of atoms above it.